(1)
Density functional theory data (PBE) for Ac2NiGe5 after structural relaxation.

abc: 6.740 6.740 6.740
angles: 78.91 126.59 126.59
Fractional positions:
Ac  0.500  0.241  0.741
Ac  0.500  0.741  0.241
Ni  0.000  0.916  0.916
Ge  0.474  0.735  0.735
Ge  0.000  0.735  0.261
Ge  0.000  0.261  0.735
Ge  0.526  0.261  0.261
Ge  0.000  0.332  0.332

Output
ρ ... 7.616 g cm⁻³
Energy of formation ... -0.439 eV/atom
Total energy ... -0.3730 Ry/atom

(2)
Density functional theory data (PBE) for Ac2NiGe2 after structural relaxation.

abc: 4.396 6.196 10.396
angles: 82.45 77.79 69.22
Fractional positions:
Ac  0.709  0.224  0.359
Ac  0.897  0.310  0.896
Ac  0.291  0.776  0.641
Ac  0.103  0.690  0.104
Ni  0.549  0.210  0.692
Ni  0.451  0.790  0.308
Ge  0.041  0.329  0.589
Ge  0.609  0.901  0.880
Ge  0.959  0.671  0.411
Ge  0.391  0.099  0.120

Output
ρ ... 8.461 g cm⁻³
Energy of formation ... -0.663 eV/atom
Total energy ... -0.3903 Ry/atom

(3)
Density functional theory data (PBE) for Ac12Ni2Ge5 after structural relaxation.

abc: 7.974 9.849 10.023
angles: 104.31 90.00 113.88
Fractional positions:
Ac  0.997  0.994  0.182
Ac  0.102  0.679  0.920
Ac  0.578  0.679  0.920
Ac  0.089  0.697  0.423
Ac  0.608  0.697  0.423
Ac  0.498  0.995  0.739
Ac  0.502  0.005  0.261
Ac  0.911  0.303  0.577
Ac  0.392  0.303  0.577
Ac  0.898  0.321  0.080
Ac  0.422  0.321  0.080
Ac  0.003  0.006  0.818
Ni  0.664  0.000  0.000
Ni  0.336  0.000  0.000
Ge  0.305  0.610  0.638
Ge  0.310  0.621  0.171
Ge  0.000  0.000  0.500
Ge  0.690  0.379  0.829
Ge  0.695  0.390  0.362

Output
ρ ... 7.678 g cm⁻³
Energy of formation ... -0.367 eV/atom
Total energy ... -0.3517 Ry/atom

(4)
Density functional theory data (PBE) for Ac5Ni2Ge after structural relaxation.

abc: 8.294 8.294 9.204
angles: 116.78 116.78 90.00
Fractional positions:
Ac  0.522  0.698  0.720
Ac  0.802  0.978  0.280
Ac  0.000  0.000  0.000
Ac  0.500  0.500  0.000
Ac  0.198  0.022  0.720
Ac  0.698  0.198  0.720
Ac  0.022  0.522  0.720
Ac  0.302  0.802  0.280
Ac  0.978  0.478  0.280
Ac  0.478  0.302  0.280
Ni  0.126  0.374  0.000
Ni  0.626  0.126  0.000
Ni  0.374  0.874  0.000
Ni  0.874  0.626  0.000
Ge  0.750  0.750  0.500
Ge  0.250  0.250  0.500

Output
ρ ... 9.018 g cm⁻³
Energy of formation ... -0.294 eV/atom
Total energy ... -0.3590 Ry/atom

(5)
Density functional theory data (PBE) for Ac3NiGe2 after structural relaxation.

abc: 4.495 12.475 12.455
angles: 90.00 90.00 90.00
Fractional positions:
Ac  0.250  0.374  0.062
Ac  0.750  0.626  0.938
Ac  0.750  0.874  0.438
Ac  0.250  0.126  0.562
Ac  0.250  0.695  0.216
Ac  0.750  0.305  0.784
Ac  0.750  0.195  0.284
Ac  0.250  0.805  0.716
Ac  0.250  0.446  0.386
Ac  0.750  0.554  0.614
Ac  0.750  0.946  0.114
Ac  0.250  0.054  0.886
Ni  0.250  0.134  0.127
Ni  0.750  0.866  0.873
Ni  0.750  0.634  0.373
Ni  0.250  0.366  0.627
Ge  0.250  0.687  0.472
Ge  0.750  0.313  0.528
Ge  0.750  0.187  0.028
Ge  0.250  0.813  0.972
Ge  0.250  0.008  0.299
Ge  0.750  0.992  0.701
Ge  0.750  0.508  0.201
Ge  0.250  0.492  0.799

Output
ρ ... 8.416 g cm⁻³
Energy of formation ... -0.623 eV/atom
Total energy ... -0.3807 Ry/atom

(6)
Density functional theory data (PBE) for AcNi5Ge2 after structural relaxation.

abc: 3.848 6.163 6.163
angles: 65.59 71.81 71.81
Fractional positions:
Ac  0.000  0.000  0.000
Ni  0.000  0.500  0.500
Ni  0.644  0.541  0.172
Ni  0.356  0.459  0.828
Ni  0.356  0.828  0.459
Ni  0.644  0.172  0.541
Ge  0.761  0.739  0.739
Ge  0.239  0.261  0.261

Output
ρ ... 8.947 g cm⁻³
Energy of formation ... -0.360 eV/atom
Total energy ... -0.4146 Ry/atom

(7)
Density functional theory data (PBE) for Ac2NiGe4 after structural relaxation.

abc: 4.983 5.977 5.974
angles: 90.00 90.00 90.00
Fractional positions:
Ac  0.500  0.000  0.500
Ac  0.500  0.500  0.000
Ni  0.000  0.000  0.000
Ge  0.000  0.719  0.719
Ge  0.000  0.281  0.281
Ge  0.000  0.719  0.281
Ge  0.000  0.281  0.719

Output
ρ ... 7.496 g cm⁻³
Energy of formation ... -0.456 eV/atom
Total energy ... -0.3744 Ry/atom

(8)
Density functional theory data (PBE) for Ac2Ni5Ge4 after structural relaxation.

abc: 5.737 5.846 7.374
angles: 79.00 67.11 60.62
Fractional positions:
Ac  0.859  0.000  0.281
Ac  0.141  0.000  0.719
Ni  0.500  0.000  0.000
Ni  0.000  0.500  0.000
Ni  0.500  0.500  0.000
Ni  0.250  0.500  0.500
Ni  0.750  0.500  0.500
Ge  0.468  0.319  0.746
Ge  0.532  0.681  0.254
Ge  0.213  0.319  0.254
Ge  0.787  0.681  0.746

Output
ρ ... 8.683 g cm⁻³
Energy of formation ... -0.505 eV/atom
Total energy ... -0.4086 Ry/atom